# HoTmGa2Ag2

A relaxed structure of HoTmGa2Ag2 (PBE, OQMD via LeMat-Bulk).

Output
crystal system: hexagonal
calculated total energy: -23.7 eV/f.u.
SG: P-6m2, No. 187
V: 20.95 Å³/atom

CIF file:
```
data_HoTmGa2Ag2
_symmetry_space_group_name_H-M 'P 1'
_symmetry_Int_Tables_number 1
_symmetry_space_group_name_Hall 'P 1'
_cell_length_a 4.571
_cell_length_b 4.571
_cell_length_c 6.948
_cell_angle_alpha 90.00
_cell_angle_beta 90.00
_cell_angle_gamma 120.00
loop_
_atom_site_label
_atom_site_fract_x
_atom_site_fract_y
_atom_site_fract_z
_atom_site_occupancy
Ho1 0.000 0.000 0.000 1
Tm1 0.000 0.000 0.500 1
Ga1 0.333 0.667 0.285 1
Ga2 0.333 0.667 0.715 1
Ag1 0.667 0.333 0.239 1
Ag2 0.667 0.333 0.761 1
```